Compound: CaSi2Au
Source: Alexandria via LeMat-Bulk
Functional: GGA-PBE
Structure: optimized geometry

Raw formation energy (kJ/mol of formula units): 11
Total energy (hartree per atom): -0.147

Cell: 4.0307 4.0307 9.7191 Å, 90.00 90.00 90.00°
With the nearest neighbours (Å) after each atom.
Atoms (fractional coordinates):
Ca1 0.0000 0.0000 0.0000  4 Au 2.85, 8 Si 3.16
Ca2 0.5000 0.5000 0.5000  4 Au 2.85, 8 Si 3.16
Si1 0.0000 0.5000 0.2500  4 Si 2.85, 4 Ca 3.16, 4 Au 3.16
Si2 0.0000 0.5000 0.7500  4 Si 2.85, 4 Au 3.16, 4 Ca 3.16
Si3 0.5000 0.0000 0.2500  4 Si 2.85, 4 Ca 3.16, 4 Au 3.16
Si4 0.5000 0.0000 0.7500  4 Si 2.85, 4 Au 3.16, 4 Ca 3.16
Au1 0.0000 0.0000 0.5000  4 Ca 2.85, 8 Si 3.16
Au2 0.5000 0.5000 0.0000  4 Ca 2.85, 8 Si 3.16

Compound: SiO3
Source: Alexandria via LeMat-Bulk
Functional: GGA-PBE
Structure: optimized geometry

Raw formation energy (kJ/mol of formula units): -384
Total energy (hartree per atom): -0.223

Cell: 2.5414 8.9455 3.8390 Å, 90.00 90.00 90.00°
With the nearest neighbours (Å) after each atom.
Atoms (fractional coordinates):
Si1 0.0000 0.0000 0.0000  6 O 1.78-1.86
Si2 0.5000 0.5000 0.5000  6 O 1.78-1.86
O1 0.0000 0.3715 0.6256  2 Si 1.78
O2 0.0000 0.5000 0.1453  2 Si 1.86
O3 0.0000 0.6285 0.6256  2 Si 1.78
O4 0.5000 0.0000 0.6453  2 Si 1.86
O5 0.5000 0.1285 0.1256  2 Si 1.78
O6 0.5000 0.8715 0.1256  2 Si 1.78